Record 1
# AsIrS2N (PBE-GGA, optimized geometry)
data_AsIrS2N
_chemical_formula_sum 'As1 Ir1 S2 N1'
_space_group_name_H-M_alt 'P 4/m m m'
_space_group_IT_number 123
_space_group_name_Hall '-P 4 2'
_cell_length_a 4.7802
_cell_length_b 4.7802
_cell_length_c 3.4204
_cell_angle_alpha 90.00
_cell_angle_beta 90.00
_cell_angle_gamma 90.00
loop_
_atom_site_label
_atom_site_fract_x
_atom_site_fract_y
_atom_site_fract_z
As1 0.0000 0.0000 0.0000
Ir1 0.5000 0.5000 0.5000
S1 0.0000 0.5000 0.0000
N1 0.0000 0.0000 0.5000
# - E_form (uncorrected) (meV/atom) = 1380
# - DOS(E_F) (states/eV per cell) = 4.8

---

Record 2
# LaMo3Os (PBE-GGA, optimized geometry)
data_LaMo3Os
_chemical_formula_sum 'La1 Mo3 Os1'
_space_group_name_H-M_alt 'P m -3 m'
_space_group_IT_number 221
_space_group_name_Hall '-P 4 2 3'
_cell_length_a 4.6689
_cell_length_b 4.6689
_cell_length_c 4.6689
_cell_angle_alpha 90.00
_cell_angle_beta 90.00
_cell_angle_gamma 90.00
loop_
_atom_site_label
_atom_site_fract_x
_atom_site_fract_y
_atom_site_fract_z
La1 0.0000 0.0000 0.0000
Mo1 0.0000 0.0000 0.5000
Os1 0.5000 0.5000 0.5000
# - E_form (eV/atom) = 2.61
# - DOS(E_F) (states/eV per cell) = 5.7

---

Record 3
# LaCoRu (PBE-GGA, optimized geometry)
data_LaCoRu
_chemical_formula_sum 'La4 Co4 Ru4'
_space_group_name_H-M_alt 'C 1 2/m 1'
_space_group_IT_number 12
_space_group_name_Hall '-C 2y'
_cell_length_a 8.6848
_cell_length_b 5.4009
_cell_length_c 4.9806
_cell_angle_alpha 90.00
_cell_angle_beta 107.23
_cell_angle_gamma 90.00
loop_
_atom_site_label
_atom_site_fract_x
_atom_site_fract_y
_atom_site_fract_z
La1 0.1311 0.0000 0.3473
Co1 0.2500 0.2500 0.0000
Ru1 0.0039 0.5000 0.7447
# - E_form (eV/atom) = 0.11
# - DOS(E_F) (states/eV per cell) = 11.3

---

Look up the DOS(E_F) of the first one. 4.8 states/eV per cell

---

Among the records above, which one has the highest DOS(E_F)? LaCoRu

---

Which of these has the lowest DOS(E_F)? AsIrS2N